Entry 1:
VASP calculation (PBE) on a geometry-optimized Be2BiRh structure.

abc: 4.1622 4.1622 8.4215
angles: 75.69 75.69 90.00
With the nearest neighbours (Å) after each atom.
Fractional positions:
Be: 0.3750 0.5488 0.7500  2 Be 2.18, 2 Rh 2.25
Be: 0.4512 0.1250 0.2500  2 Be 2.18, 2 Rh 2.25
Be: 0.8750 0.7012 0.7500  2 Be 2.18, 2 Rh 2.25
Be: 0.2988 0.6250 0.2500  2 Be 2.18, 2 Rh 2.25
Rh: 0.2500 0.7500 0.5000  4 Be 2.25
Rh: 0.5000 0.5000 0.0000  4 Be 2.25
Bi: 0.7500 0.2500 0.5000  4 Be 2.84, 4 Rh 2.94
Bi: 0.0000 0.0000 0.0000  4 Be 2.84, 4 Rh 2.94

Output
E: -4.405 eV per atom
Space group: No. 122



Entry 2:
VASP calculation (PBE) on a geometry-optimized Be3BiRh structure.

abc: 4.3147 4.3147 4.3147
angles: 90.00 90.00 90.00
With the nearest neighbours (Å) after each atom.
Fractional positions:
Be: 0.0000 0.5000 0.0000  2 Rh 2.16
Be: 0.0000 0.0000 0.5000  2 Rh 2.16
Be: 0.5000 0.0000 0.0000  2 Rh 2.16
Rh: 0.0000 0.0000 0.0000  6 Be 2.16
Bi: 0.5000 0.5000 0.5000  12 Be 3.05

Output
E: -4.156 eV per atom
Space group: No. 221
Energy above the most stable polymorph in this dataset: 0.000 eV/atom



Entry 3:
VASP calculation (PBE) on a geometry-optimized BeBiSb2Rh structure.

abc: 5.2738 4.2442 5.2738
angles: 90.00 90.00 90.00
With the nearest neighbours (Å) after each atom.
Fractional positions:
Be: 0.0000 0.5000 0.0000  2 Rh 2.12
Rh: 0.0000 0.0000 0.0000  2 Be 2.12
Sb: 0.5000 0.0000 0.0000  2 Rh 2.64
Sb: 0.0000 0.0000 0.5000  2 Rh 2.64
Bi: 0.5000 0.5000 0.5000  8 Sb 3.38, 4 Be 3.73

Output
Formation energy without anion corrections: 0.188 eV per atom
E: -4.453 eV per atom
Space group: No. 123



Entry 4:
VASP calculation (PBE) on a geometry-optimized Be2SnBiRh structure.

abc: 4.6179 5.2230 4.6179
angles: 90.00 90.00 90.00
With the nearest neighbours (Å) after each atom.
Fractional positions:
Rh: 0.0000 0.5000 0.0000  2 Bi 2.61
Bi: 0.0000 0.0000 0.0000  4 Be 2.31
Be: 0.5000 0.0000 0.0000  2 Bi 2.31
Be: 0.0000 0.0000 0.5000  2 Bi 2.31
Sn: 0.5000 0.5000 0.5000  4 Rh 3.27, 8 Be 3.49

Output
E: -3.439 eV per atom
Space group: No. 123



Entry 5:
VASP calculation (PBE) on a geometry-optimized BeSn2BiRh structure.

abc: 5.0567 5.0567 5.4569
angles: 90.00 90.00 90.00
With the nearest neighbours (Å) after each atom.
Fractional positions:
Bi: 0.0000 0.0000 0.5000  2 Rh 2.73
Sn: 0.0000 0.5000 0.0000  2 Rh 2.53
Sn: 0.5000 0.0000 0.0000  2 Rh 2.53
Be: 0.5000 0.5000 0.5000  4 Bi 3.58, 8 Sn 3.72
Rh: 0.0000 0.0000 0.0000  4 Sn 2.53, 2 Bi 2.73

Output
E: -4.023 eV per atom
Space group: No. 123



Entry 6:
VASP calculation (PBE) on a geometry-optimized BeSnBi2Rh structure.

abc: 5.3545 5.0413 5.3545
angles: 90.00 90.00 90.00
With the nearest neighbours (Å) after each atom.
Fractional positions:
Bi: 0.5000 0.0000 0.0000  2 Rh 2.68
Bi: 0.0000 0.0000 0.5000  2 Rh 2.68
Be: 0.5000 0.5000 0.5000  8 Bi 3.68, 4 Sn 3.79
Sn: 0.0000 0.5000 0.0000  2 Rh 2.52
Rh: 0.0000 0.0000 0.0000  2 Sn 2.52, 4 Bi 2.68

Output
E: -3.907 eV per atom
Space group: No. 123